1.
The following is a DFT calculation (GGA-PBE) of a relaxed structure of Li2LaBr.

a = 3.9038 Å, b = 5.9660 Å, c = 9.2774 Å
α = 90.00°, β = 90.00°, γ = 90.00°
Space group Cmmm (No. 65)
Inequivalent atoms, fractional coordinates:
Li (0.0000, 0.0000, 0.1794) (multiplicity 4)
La (0.0000, 0.5000, 0.5000) (multiplicity 2)
Br (0.0000, 0.5000, 0.0000) (multiplicity 2)

Computed properties:
As for the formation energy without anion corrections: -0.53 eV/atom. For the total magnetic moment, the calculation gives 0.0 Bohr magnetons per cell. As for the volume: 108.0 Å³/f.u.

=====

2.
The following is a DFT calculation (GGA-PBE) of a relaxed structure of LiLaBr4.

a = 6.9842 Å, b = 4.3809 Å, c = 7.1633 Å
α = 90.00°, β = 95.45°, γ = 90.00°
Space group P2/m (No. 10)
Inequivalent atoms, fractional coordinates:
Li (0.0000, 0.0000, 0.0000) (multiplicity 1)
La (0.0000, 0.5000, 0.5000) (multiplicity 1)
Br (0.2142, 0.5000, 0.1739) (multiplicity 2)
Br (0.2334, 0.0000, 0.6925) (multiplicity 2)

Computed properties:
As for the formation energy without anion corrections: -1.79 eV/atom. For the total magnetic moment, the calculation gives 0.0 Bohr magnetons per cell. As for the volume: 218.2 Å³/f.u. For the energy above the most stable polymorph in this dataset, the calculation gives 0.000 eV/atom.

=====

3.
The following is a DFT calculation (GGA-PBE) of a relaxed structure of Li2LaBr.

a = 3.5761 Å, b = 3.5761 Å, c = 7.5938 Å
α = 90.00°, β = 90.00°, γ = 90.00°
Space group P4mm (No. 99)
Inequivalent atoms, fractional coordinates:
Li (0.0000, 0.0000, 0.0000) (multiplicity 1)
Li (0.5000, 0.5000, 0.2038) (multiplicity 1)
La (0.5000, 0.5000, 0.6933) (multiplicity 1)
Br (0.0000, 0.0000, 0.3973) (multiplicity 1)

Computed properties:
As for the formation energy without anion corrections: -0.51 eV/atom. For the total magnetic moment, the calculation gives 0.0 Bohr magnetons per cell. As for the volume: 97.1 Å³/f.u.

=====

4.
The following is a DFT calculation (GGA-PBE) of a relaxed structure of LiLa4Br.

a = 9.4302 Å, b = 9.4302 Å, c = 9.4302 Å
α = 90.00°, β = 90.00°, γ = 90.00°
Space group F-43m (No. 216)
Inequivalent atoms, fractional coordinates:
Li (0.0000, 0.0000, 0.0000) (multiplicity 4)
La (0.1275, 0.1275, 0.3725) (multiplicity 16)
Br (0.2500, 0.2500, 0.7500) (multiplicity 4)

Computed properties:
As for the formation energy without anion corrections: 0.22 eV/atom. For the total magnetic moment, the calculation gives 1.8 Bohr magnetons per cell. As for the volume: 209.7 Å³/f.u.